Record 1
# SrTmMoN3 PBE optimized geometry
data_SrTmMoN3
_symmetry_space_group_name_H-M 'P 1 21/m 1'
_symmetry_Int_Tables_number 11
_cell_length_a 7.4791
_cell_length_b 3.5655
_cell_length_c 8.1633
_cell_angle_alpha 90.00
_cell_angle_beta 101.44
_cell_angle_gamma 90.00
loop_
_symmetry_equiv_pos_as_xyz
'x,y,z'
'-x,-y,-z'
'-x,y+1/2,-z'
'x,-y+1/2,z'
loop_
_atom_site_label
_atom_site_type_symbol
_atom_site_fract_x
_atom_site_fract_y
_atom_site_fract_z
Sr1 Sr 0.1864 0.2500 0.1764
Tm1 Tm 0.3738 0.7500 0.8547
Mo1 Mo 0.0887 0.2500 0.6071
N1 N 0.1131 0.2500 0.8384
N2 N 0.1753 0.7500 0.5352
N3 N 0.4296 0.7500 0.1309
# Energy relative to the elements, uncorrected   -0.86 eV/atom
# Total magnetic moment   0.00 μB/atom
# Crystal system   monoclinic

Record 2
# Li2Cl PBE optimized geometry
data_Li2Cl
_symmetry_space_group_name_H-M 'I 4/m m m'
_symmetry_Int_Tables_number 139
_symmetry_space_group_name_Hall '-I 4 2'
_cell_length_a 3.2063
_cell_length_b 3.2063
_cell_length_c 11.5932
_cell_angle_alpha 90.00
_cell_angle_beta 90.00
_cell_angle_gamma 90.00
loop_
_atom_site_label
_atom_site_type_symbol
_atom_site_fract_x
_atom_site_fract_y
_atom_site_fract_z
Li1 Li 0.0000 0.0000 0.1310
Cl1 Cl 0.0000 0.0000 0.5000
# Energy relative to the elements, uncorrected   -0.95 eV/atom
# Total magnetic moment   0.00 μB/atom
# Crystal system   tetragonal

Record 3
# Ag12Sn3Hg PBE optimized geometry
data_Ag12Sn3Hg
_symmetry_space_group_name_H-M 'P 4/m m m'
_symmetry_Int_Tables_number 123
_symmetry_space_group_name_Hall '-P 4 2'
_cell_length_a 4.2813
_cell_length_b 4.2813
_cell_length_c 16.8493
_cell_angle_alpha 90.00
_cell_angle_beta 90.00
_cell_angle_gamma 90.00
loop_
_atom_site_label
_atom_site_type_symbol
_atom_site_fract_x
_atom_site_fract_y
_atom_site_fract_z
Ag1 Ag 0.0000 0.0000 0.0000
Ag2 Ag 0.0000 0.0000 0.2489
Ag3 Ag 0.0000 0.0000 0.5000
Ag4 Ag 0.0000 0.5000 0.1243
Ag5 Ag 0.0000 0.5000 0.3742
Sn1 Sn 0.5000 0.5000 0.2492
Sn2 Sn 0.5000 0.5000 0.5000
Hg1 Hg 0.5000 0.5000 0.0000
# Total magnetic moment   0.00 μB/atom
# Energy of formation from the pure elements   0.0193 eV/atom
# Crystal system   tetragonal

Record 4
# MgSc2TlCl PBE optimized geometry
data_MgSc2TlCl
_symmetry_space_group_name_H-M 'P 4/m m m'
_symmetry_Int_Tables_number 123
_symmetry_space_group_name_Hall '-P 4 2'
_cell_length_a 4.8058
_cell_length_b 4.8058
_cell_length_c 5.6328
_cell_angle_alpha 90.00
_cell_angle_beta 90.00
_cell_angle_gamma 90.00
loop_
_atom_site_label
_atom_site_type_symbol
_atom_site_fract_x
_atom_site_fract_y
_atom_site_fract_z
Mg1 Mg 0.0000 0.0000 0.0000
Sc1 Sc 0.0000 0.5000 0.5000
Tl1 Tl 0.5000 0.5000 0.0000
Cl1 Cl 0.5000 0.5000 0.5000
# Energy relative to the elements, uncorrected   -0.14 eV/atom
# Total magnetic moment   0.00 μB/atom
# Crystal system   tetragonal

Record 5
# CdIr3I PBE optimized geometry
data_CdIr3I
_symmetry_space_group_name_H-M 'P m -3 m'
_symmetry_Int_Tables_number 221
_symmetry_space_group_name_Hall '-P 4 2 3'
_cell_length_a 4.8664
_cell_length_b 4.8664
_cell_length_c 4.8664
_cell_angle_alpha 90.00
_cell_angle_beta 90.00
_cell_angle_gamma 90.00
loop_
_atom_site_label
_atom_site_type_symbol
_atom_site_fract_x
_atom_site_fract_y
_atom_site_fract_z
Cd1 Cd 0.0000 0.0000 0.0000
Ir1 Ir 0.0000 0.5000 0.5000
I1 I 0.5000 0.5000 0.5000
# Energy relative to the elements, uncorrected   1.78 eV/atom
# Total magnetic moment   0.00 μB/atom
# Crystal system   cubic

Record 6
# BaYMgTa2 PBE optimized geometry
data_BaYMgTa2
_symmetry_space_group_name_H-M 'P 4/m m m'
_symmetry_Int_Tables_number 123
_symmetry_space_group_name_Hall '-P 4 2'
_cell_length_a 5.1917
_cell_length_b 5.1917
_cell_length_c 5.8171
_cell_angle_alpha 90.00
_cell_angle_beta 90.00
_cell_angle_gamma 90.00
loop_
_atom_site_label
_atom_site_type_symbol
_atom_site_fract_x
_atom_site_fract_y
_atom_site_fract_z
Ba1 Ba 0.0000 0.0000 0.0000
Y1 Y 0.5000 0.5000 0.5000
Mg1 Mg 0.5000 0.5000 0.0000
Ta1 Ta 0.0000 0.5000 0.5000
# Total magnetic moment   0.00 μB/atom
# Energy of formation from the pure elements   1.5056 eV/atom
# Crystal system   tetragonal

Record 7
# ReTcPt2 PBE optimized geometry
data_ReTcPt2
_symmetry_space_group_name_H-M 'P 4/m m m'
_symmetry_Int_Tables_number 123
_symmetry_space_group_name_Hall '-P 4 2'
_cell_length_a 2.7260
_cell_length_b 2.7260
_cell_length_c 8.0926
_cell_angle_alpha 90.00
_cell_angle_beta 90.00
_cell_angle_gamma 90.00
loop_
_atom_site_label
_atom_site_type_symbol
_atom_site_fract_x
_atom_site_fract_y
_atom_site_fract_z
Re1 Re 0.0000 0.0000 0.0000
Tc1 Tc 0.0000 0.0000 0.5000
Pt1 Pt 0.5000 0.5000 0.2489
# Total magnetic moment   0.00 μB/atom
# Energy of formation from the pure elements   -0.0357 eV/atom
# Crystal system   tetragonal

Record 8
# PdRu3Se PBE optimized geometry
data_PdRu3Se
_symmetry_space_group_name_H-M 'P m -3 m'
_symmetry_Int_Tables_number 221
_symmetry_space_group_name_Hall '-P 4 2 3'
_cell_length_a 4.5007
_cell_length_b 4.5007
_cell_length_c 4.5007
_cell_angle_alpha 90.00
_cell_angle_beta 90.00
_cell_angle_gamma 90.00
loop_
_atom_site_label
_atom_site_type_symbol
_atom_site_fract_x
_atom_site_fract_y
_atom_site_fract_z
Pd1 Pd 0.0000 0.0000 0.0000
Ru1 Ru 0.0000 0.5000 0.5000
Se1 Se 0.5000 0.5000 0.5000
# Energy relative to the elements, uncorrected   1.09 eV/atom
# Total magnetic moment   0.51 μB/atom
# Crystal system   cubic

Record 9
# BaZr2Al PBE optimized geometry
data_BaZr2Al
_symmetry_space_group_name_H-M 'I -4 m 2'
_symmetry_Int_Tables_number 119
_symmetry_space_group_name_Hall 'I -4 -2'
_cell_length_a 4.6573
_cell_length_b 4.6573
_cell_length_c 9.3389
_cell_angle_alpha 90.00
_cell_angle_beta 90.00
_cell_angle_gamma 90.00
loop_
_atom_site_label
_atom_site_type_symbol
_atom_site_fract_x
_atom_site_fract_y
_atom_site_fract_z
Ba1 Ba 0.0000 0.0000 0.0000
Zr1 Zr 0.0000 0.0000 0.5000
Zr2 Zr 0.0000 0.5000 0.7500
Al1 Al 0.0000 0.5000 0.2500
# Total magnetic moment   0.00 μB/atom
# Energy of formation from the pure elements   0.3641 eV/atom
# Crystal system   tetragonal

Record 10
# LaCePm2Nd2 PBE optimized geometry
data_LaCePm2Nd2
_symmetry_space_group_name_H-M 'P n n m'
_symmetry_Int_Tables_number 58
_cell_length_a 6.7090
_cell_length_b 18.0590
_cell_length_c 3.4258
_cell_angle_alpha 90.00
_cell_angle_beta 90.00
_cell_angle_gamma 90.00
loop_
_symmetry_equiv_pos_as_xyz
'x,y,z'
'-x,-y,-z'
'-x,-y,z'
'x,y,-z'
'x+1/2,-y+1/2,-z+1/2'
'-x+1/2,y+1/2,z+1/2'
'-x+1/2,y+1/2,-z+1/2'
'x+1/2,-y+1/2,z+1/2'
loop_
_atom_site_label
_atom_site_type_symbol
_atom_site_fract_x
_atom_site_fract_y
_atom_site_fract_z
La1 La 0.0000 0.0000 0.0000
Ce1 Ce 0.0000 0.5000 0.0000
Pm1 Pm 0.2147 0.1816 0.0000
Nd1 Nd 0.2065 0.3520 0.5000
# Total magnetic moment   0.14 μB/atom
# Energy of formation from the pure elements   0.2620 eV/atom
# Crystal system   orthorhombic

Record 11
# Nd6CdRh PBE optimized geometry
data_Nd6CdRh
_symmetry_space_group_name_H-M 'P -1'
_symmetry_Int_Tables_number 2
_cell_length_a 7.0080
_cell_length_b 7.0538
_cell_length_c 7.7117
_cell_angle_alpha 90.41
_cell_angle_beta 116.51
_cell_angle_gamma 119.71
loop_
_symmetry_equiv_pos_as_xyz
'x,y,z'
'-x,-y,-z'
loop_
_atom_site_label
_atom_site_type_symbol
_atom_site_fract_x
_atom_site_fract_y
_atom_site_fract_z
Nd1 Nd 0.0385 0.0797 0.2505
Nd2 Nd 0.2896 0.7105 0.2488
Nd3 Nd 0.3250 0.5386 0.7512
Cd1 Cd 0.5000 0.0000 0.0000
Rh1 Rh 0.5000 0.5000 0.5000
# Total magnetic moment   0.00 μB/atom
# Energy of formation from the pure elements   -0.0371 eV/atom
# Crystal system   triclinic

Record 12
# Tl2ZnIr PBE optimized geometry
data_Tl2ZnIr
_symmetry_space_group_name_H-M 'C 1 2/m 1'
_symmetry_Int_Tables_number 12
_cell_length_a 7.2585
_cell_length_b 7.1712
_cell_length_c 3.1281
_cell_angle_alpha 90.00
_cell_angle_beta 95.07
_cell_angle_gamma 90.00
loop_
_symmetry_equiv_pos_as_xyz
'x,y,z'
'-x,-y,-z'
'-x,y,-z'
'x,-y,z'
'x+1/2,y+1/2,z'
'-x+1/2,-y+1/2,-z'
'-x+1/2,y+1/2,-z'
'x+1/2,-y+1/2,z'
loop_
_atom_site_label
_atom_site_type_symbol
_atom_site_fract_x
_atom_site_fract_y
_atom_site_fract_z
Tl1 Tl 0.2500 0.2500 0.0000
Zn1 Zn 0.0000 0.0000 0.5000
Ir1 Ir 0.0000 0.5000 0.5000
# Total magnetic moment   0.00 μB/atom
# Energy of formation from the pure elements   0.4750 eV/atom
# Crystal system   monoclinic

Record 13
# SmYTmHg PBE optimized geometry
data_SmYTmHg
_symmetry_space_group_name_H-M 'F -4 3 m'
_symmetry_Int_Tables_number 216
_symmetry_space_group_name_Hall 'F -4 2 3'
_cell_length_a 7.6766
_cell_length_b 7.6766
_cell_length_c 7.6766
_cell_angle_alpha 90.00
_cell_angle_beta 90.00
_cell_angle_gamma 90.00
loop_
_atom_site_label
_atom_site_type_symbol
_atom_site_fract_x
_atom_site_fract_y
_atom_site_fract_z
Sm1 Sm 0.0000 0.0000 0.0000
Y1 Y 0.0000 0.0000 0.5000
Tm1 Tm 0.2500 0.2500 0.2500
Hg1 Hg 0.2500 0.2500 0.7500
# Total magnetic moment   0.02 μB/atom
# Energy of formation from the pure elements   -0.0699 eV/atom
# Crystal system   cubic